No. 1
DFT (PBE-GGA) results for LiY2Nb after structural relaxation.

a = 4.440 Å, b = 4.440 Å, c = 10.585 Å
α = 77.89°, β = 77.89°, γ = 90.00°
Atoms (fractional coordinates):
1 Y 0.627 0.125 0.250
2 Y 0.123 0.625 0.250
3 Y 0.375 0.373 0.750
4 Y 0.875 0.877 0.750
5 Nb 0.000 0.000 0.000
6 Nb 0.750 0.250 0.500
7 Li 0.500 0.500 0.000
8 Li 0.250 0.750 0.500

energy relative to the lowest polymorph listed for this composition: 0.515 eV per atom

***

No. 2
DFT (PBE-GGA) results for LiY2Nb after structural relaxation.

a = 5.193 Å, b = 5.193 Å, c = 5.193 Å
α = 60.00°, β = 60.00°, γ = 60.00°
Last column: magnetic moment on the atom in μB.
Atoms (fractional coordinates):
1 Y 0.250 0.250 0.250  0.13
2 Y 0.750 0.750 0.750  0.13
3 Nb 0.500 0.500 0.500  1.61
4 Li 0.000 0.000 0.000  -0.02

energy relative to the lowest polymorph listed for this composition: 0.000 eV per atom

***

No. 3
DFT (PBE-GGA) results for LiY2Nb after structural relaxation.

a = 3.192 Å, b = 3.192 Å, c = 11.679 Å
α = 82.15°, β = 82.15°, γ = 60.00°
Atoms (fractional coordinates):
1 Y 0.084 0.084 0.747
2 Y 0.916 0.916 0.253
3 Nb 0.000 0.000 0.000
4 Li 0.500 0.500 0.500

energy relative to the lowest polymorph listed for this composition: 0.292 eV per atom

***

No. 4
DFT (PBE-GGA) results for LiY2Nb2 after structural relaxation.

a = 4.414 Å, b = 4.414 Å, c = 7.512 Å
α = 72.91°, β = 72.91°, γ = 90.00°
Atoms (fractional coordinates):
1 Y 0.750 0.250 0.500
2 Y 0.250 0.750 0.500
3 Nb 0.418 0.418 0.164
4 Nb 0.582 0.582 0.836
5 Li 0.000 0.000 0.000

energy relative to the lowest polymorph listed for this composition: 0.501 eV per atom

***

No. 5
DFT (PBE-GGA) results for LiYNb3 after structural relaxation.

a = 5.024 Å, b = 5.024 Å, c = 5.024 Å
α = 90.00°, β = 90.00°, γ = 90.00°
Atoms (fractional coordinates):
1 Y 0.000 0.000 0.000
2 Nb 0.000 0.500 0.000
3 Nb 0.000 0.000 0.500
4 Nb 0.500 0.000 0.000
5 Li 0.500 0.500 0.500

energy relative to the lowest polymorph listed for this composition: 1.023 eV per atom

***

No. 6
DFT (PBE-GGA) results for Li2YNb after structural relaxation.

a = 4.044 Å, b = 4.044 Å, c = 11.594 Å
α = 79.96°, β = 79.96°, γ = 90.00°
Last column: magnetic moment on the atom in μB.
Atoms (fractional coordinates):
1 Y 0.500 0.500 0.000  0.01
2 Y 0.250 0.750 0.500  0.01
3 Nb 0.000 0.000 0.000  0.43
4 Nb 0.750 0.250 0.500  0.43
5 Li 0.654 0.125 0.250  0.01
6 Li 0.096 0.625 0.250  0.01
7 Li 0.375 0.346 0.750  0.01
8 Li 0.875 0.904 0.750  0.01

energy relative to the lowest polymorph listed for this composition: 0.167 eV per atom

***

No. 7
DFT (PBE-GGA) results for LiYNb3 after structural relaxation.

a = 4.649 Å, b = 4.649 Å, c = 4.649 Å
α = 90.00°, β = 90.00°, γ = 90.00°
Atoms (fractional coordinates):
1 Y 0.500 0.500 0.500
2 Nb 0.000 0.500 0.000
3 Nb 0.000 0.000 0.500
4 Nb 0.500 0.000 0.000
5 Li 0.000 0.000 0.000

energy relative to the lowest polymorph listed for this composition: 0.000 eV per atom

***

No. 8
DFT (PBE-GGA) results for LiY2Nb2 after structural relaxation.

a = 8.609 Å, b = 8.609 Å, c = 3.485 Å
α = 90.00°, β = 90.00°, γ = 90.00°
Atoms (fractional coordinates):
1 Y 0.196 0.696 0.500
2 Y 0.696 0.804 0.500
3 Y 0.804 0.304 0.500
4 Y 0.304 0.196 0.500
5 Nb 0.403 0.903 0.000
6 Nb 0.903 0.597 0.000
7 Nb 0.597 0.097 0.000
8 Nb 0.097 0.403 0.000
9 Li 0.000 0.000 0.000
10 Li 0.500 0.500 0.000

energy relative to the lowest polymorph listed for this composition: 0.000 eV per atom